# GGA-PBE As5Ru, relaxed
# N(E_F)   0.737 states/eV per atom
# ΔH_f (0 K)   0.815 eV per atom
data_As5Ru
_chemical_formula_sum 'As5 Ru1'
_symmetry_space_group_name_H-M 'P 6/m m m'
_symmetry_Int_Tables_number 191
_symmetry_space_group_name_Hall '-P 6 2'
_cell_length_a 4.9918
_cell_length_b 4.9918
_cell_length_c 5.6359
_cell_angle_alpha 90.00
_cell_angle_beta 90.00
_cell_angle_gamma 120.00
loop_
_atom_site_label
_atom_site_type_symbol
_atom_site_fract_x
_atom_site_fract_y
_atom_site_fract_z
As1 As 0.0000 0.5000 0.0000
As2 As 0.3333 0.6667 0.5000
Ru1 Ru 0.0000 0.0000 0.5000

# GGA-PBE LaGa3Bi, relaxed
# N(E_F)   0.740 states/eV per atom
# ΔH_f (0 K)   0.369 eV per atom
data_LaGa3Bi
_chemical_formula_sum 'La1 Ga3 Bi1'
_symmetry_space_group_name_H-M 'P m -3 m'
_symmetry_Int_Tables_number 221
_symmetry_space_group_name_Hall '-P 4 2 3'
_cell_length_a 5.409
_cell_length_b 5.409
_cell_length_c 5.409
_cell_angle_alpha 90.00
_cell_angle_beta 90.00
_cell_angle_gamma 90.00
loop_
_atom_site_label
_atom_site_type_symbol
_atom_site_fract_x
_atom_site_fract_y
_atom_site_fract_z
La1 La 0.000 0.000 0.000
Ga1 Ga 0.000 0.500 0.500
Bi1 Bi 0.500 0.500 0.500

# GGA-PBE NiTe2Ir, relaxed
# N(E_F)   0.922 states/eV per atom
# ΔE_f (raw)   0.8172 eV/atom
data_NiTe2Ir
_chemical_formula_sum 'Ni4 Te8 Ir4'
_symmetry_space_group_name_H-M 'F -4 3 m'
_symmetry_Int_Tables_number 216
_symmetry_space_group_name_Hall 'F -4 2 3'
_cell_length_a 6.749
_cell_length_b 6.749
_cell_length_c 6.749
_cell_angle_alpha 90.00
_cell_angle_beta 90.00
_cell_angle_gamma 90.00
loop_
_atom_site_label
_atom_site_type_symbol
_atom_site_fract_x
_atom_site_fract_y
_atom_site_fract_z
Ni1 Ni 0.000 0.000 0.000
Te1 Te 0.000 0.000 0.500
Te2 Te 0.250 0.250 0.250
Ir1 Ir 0.250 0.250 0.750

# GGA-PBE ZrAsBr2Cl, relaxed
# N(E_F)   1.320 states/eV per atom
# ΔE_f (raw)   0.7836 eV/atom
data_ZrAsBr2Cl
_chemical_formula_sum 'Zr1 As1 Br2 Cl1'
_symmetry_space_group_name_H-M 'P 4/m m m'
_symmetry_Int_Tables_number 123
_symmetry_space_group_name_Hall '-P 4 2'
_cell_length_a 5.405
_cell_length_b 5.405
_cell_length_c 4.695
_cell_angle_alpha 90.00
_cell_angle_beta 90.00
_cell_angle_gamma 90.00
loop_
_atom_site_label
_atom_site_type_symbol
_atom_site_fract_x
_atom_site_fract_y
_atom_site_fract_z
Zr1 Zr 0.000 0.000 0.000
As1 As 0.500 0.500 0.000
Br1 Br 0.000 0.500 0.500
Cl1 Cl 0.500 0.500 0.500

# GGA-PBE Sr2IO5, relaxed
# N(E_F)   0.165 states/eV per atom
# ΔE_f (raw)   -1.6442 eV/atom
data_Sr2IO5
_chemical_formula_sum 'Sr8 I4 O20'
_symmetry_space_group_name_H-M 'C m c m'
_symmetry_Int_Tables_number 63
_symmetry_space_group_name_Hall '-C 2c 2'
_cell_length_a 4.236
_cell_length_b 12.322
_cell_length_c 11.173
_cell_angle_alpha 90.00
_cell_angle_beta 90.00
_cell_angle_gamma 90.00
loop_
_atom_site_label
_atom_site_type_symbol
_atom_site_fract_x
_atom_site_fract_y
_atom_site_fract_z
Sr1 Sr 0.000 0.143 0.072
I1 I 0.000 0.159 0.750
O1 O 0.000 0.050 0.628
O2 O 0.000 0.272 0.614
O3 O 0.000 0.312 0.250

# GGA-PBE TmCo3Br9, relaxed
# N(E_F)   0.003 states/eV per atom
# ΔE_f (raw)   -0.7123 eV/atom
data_TmCo3Br9
_chemical_formula_sum 'Tm4 Co12 Br36'
_symmetry_space_group_name_H-M 'C 1 c 1'
_symmetry_Int_Tables_number 9
_cell_length_a 18.539
_cell_length_b 9.311
_cell_length_c 13.267
_cell_angle_alpha 90.00
_cell_angle_beta 128.58
_cell_angle_gamma 90.00
loop_
_symmetry_equiv_pos_as_xyz
'x,y,z'
'x,-y,z+1/2'
'x+1/2,y+1/2,z'
'x+1/2,-y+1/2,z+1/2'
loop_
_atom_site_label
_atom_site_type_symbol
_atom_site_fract_x
_atom_site_fract_y
_atom_site_fract_z
Tm1 Tm 0.000 0.232 0.000
Co1 Co 0.141 0.118 0.829
Co2 Co 0.233 0.426 0.716
Co3 Co 0.359 0.076 0.668
Br1 Br 0.008 0.088 0.823
Br2 Br 0.118 0.347 0.732
Br3 Br 0.141 0.064 0.202
Br4 Br 0.152 0.382 0.058
Br5 Br 0.247 0.264 0.589
Br6 Br 0.294 0.127 0.027
Br7 Br 0.361 0.472 0.420
Br8 Br 0.400 0.021 0.367
Br9 Br 0.488 0.179 0.693

| no. | uncorrected energy (eV/atom) | M_tot (μB/f.u.) |
| --- | --- | --- |
| 1 | -4.61 | 0.6 |
| 2 | -3.21 | 0.0 |
| 3 | -4.41 | 0.0 |
| 4 | -2.89 | 0.0 |
| 5 | -5.36 | 0.0 |
| 6 | -3.85 | 9.0 |